No. 1
Below is a relaxed CsTeHC crystal, with properties calculated at the PBE-GGA level.

calculated total energy = -3.264 eV/atom

Lattice parameters (Å, degrees): 4.5025 4.5053 6.0630 87.07 86.64 87.87
Space group P1 (No. 1)
One atom of each set of equivalent atoms:
1 Cs 0.0000 0.0000 0.0000 [1 per cell]
2 Te 0.4899 0.4853 0.5463 [1 per cell]
3 H 0.2106 0.2036 0.4870 [1 per cell]
4 C 0.5085 0.5078 0.8678 [1 per cell]

***

No. 2
Below is a relaxed CsTeHC crystal, with properties calculated at the PBE-GGA level.

calculated total energy = -3.381 eV/atom

Lattice parameters (Å, degrees): 12.0931 3.3667 4.7853 90.00 92.15 90.00
Space group Cm (No. 8)
One atom of each set of equivalent atoms:
1 Cs 0.0000 0.0000 0.0000 [2 per cell]
2 Te 0.2594 0.5000 0.4984 [2 per cell]
3 H 0.2329 0.5000 0.8789 [2 per cell]
4 C 0.3702 0.0000 0.4852 [2 per cell]

***

No. 3
Below is a relaxed CsTeHC crystal, with properties calculated at the PBE-GGA level.

calculated total energy = -3.881 eV/atom

Lattice parameters (Å, degrees): 9.8192 3.5295 7.0623 90.00 123.31 90.00
Space group Cm (No. 8)
One atom of each set of equivalent atoms:
1 Cs 0.0000 0.0000 0.0000 [2 per cell]
2 Te 0.4958 0.0000 0.5067 [2 per cell]
3 H 0.2289 0.0000 0.6143 [2 per cell]
4 C 0.1589 0.0000 0.6964 [2 per cell]

***

No. 4
Below is a relaxed CsTeHC crystal, with properties calculated at the PBE-GGA level.

calculated total energy = -3.259 eV/atom

Lattice parameters (Å, degrees): 4.8105 4.3420 5.1890 90.00 90.13 90.00
Space group Pm (No. 6)
One atom of each set of equivalent atoms:
1 Cs 0.0000 0.0000 0.0000 [1 per cell]
2 Te 0.4954 0.5000 0.5213 [1 per cell]
3 H 0.4770 0.5000 0.8713 [1 per cell]
4 C 0.4994 0.0000 0.4532 [1 per cell]

***

Copy entry 3 word for word.
Below is a relaxed CsTeHC crystal, with properties calculated at the PBE-GGA level.

calculated total energy = -3.881 eV/atom

Lattice parameters (Å, degrees): 9.8192 3.5295 7.0623 90.00 123.31 90.00
Space group Cm (No. 8)
One atom of each set of equivalent atoms:
1 Cs 0.0000 0.0000 0.0000 [2 per cell]
2 Te 0.4958 0.0000 0.5067 [2 per cell]
3 H 0.2289 0.0000 0.6143 [2 per cell]
4 C 0.1589 0.0000 0.6964 [2 per cell]

***

> Number 1 is which compound?

CsTeHC

***

> Among the records above, which one has the lowest calculated total energy?

number 3